Density functional theory data (PBE) for P2WSe after structural relaxation.

Calculated values
Energy relative to the elements, uncorrected   0.601 eV/atom
D(E_F)   3.96 states/eV per cell

a = 2.9897 Å, b = 2.9897 Å, c = 9.1535 Å
α = 90.00°, β = 90.00°, γ = 118.42°
Last column: nearest neighbours and their distance in Å.
Positions (direct):
P: 0.0000 0.0000 0.9954  2 P 2.30, 2 W 2.56
P: 0.5000 0.5000 0.1824  2 P 2.30
Se: 0.0000 0.0000 0.5506  2 W 2.54
W: 0.5000 0.5000 0.7716  2 Se 2.54, 2 P 2.56

***

Density functional theory data (PBE) for Cu4RuSe after structural relaxation.

Calculated values
Energy relative to the elements, uncorrected   0.379 eV/atom
D(E_F)   6.34 states/eV per cell

a = 4.8621 Å, b = 4.8621 Å, c = 4.8621 Å
α = 60.00°, β = 60.00°, γ = 60.00°
Last column: nearest neighbours and their distance in Å.
Positions (direct):
Cu: 0.6244 0.6244 0.1269  6 Cu 2.42-2.44
Cu: 0.6244 0.1269 0.6244  6 Cu 2.42-2.44
Cu: 0.6244 0.6244 0.6244  6 Cu 2.42-2.44
Cu: 0.1269 0.6244 0.6244  6 Cu 2.42-2.44
Ru: 0.2500 0.2500 0.2500  12 Cu 2.85, 4 Se 2.98
Se: 0.0000 0.0000 0.0000  12 Cu 2.85, 4 Ru 2.98

***

Density functional theory data (PBE) for TbIn2BiTe4 after structural relaxation.

Calculated values
Energy relative to the elements, uncorrected   -0.603 eV/atom
D(E_F)   0.15 states/eV per cell

a = 4.4977 Å, b = 8.3100 Å, c = 7.8427 Å
α = 71.76°, β = 90.00°, γ = 90.00°
Last column: nearest neighbours and their distance in Å.
Positions (direct):
Tb: 0.0000 0.5000 0.5000  6 Te 3.13
In: 0.0000 0.0000 0.0000  6 Te 3.41-3.42
In: 0.5000 0.0000 0.5000  6 Te 3.35-3.37
Bi: 0.5000 0.5000 0.0000  6 Te 3.19
Te: 0.0000 0.7282 0.7509  1 Tb 3.13, 2 Bi 3.19, 3 In 3.35-3.42
Te: 0.0000 0.2718 0.2491  1 Tb 3.13, 2 Bi 3.19, 3 In 3.35-3.42
Te: 0.5000 0.7238 0.2648  2 Tb 3.13, 1 Bi 3.19, 3 In 3.37-3.41
Te: 0.5000 0.2762 0.7352  2 Tb 3.13, 1 Bi 3.19, 3 In 3.37-3.41

***

Density functional theory data (PBE) for LiCu2 after structural relaxation.

Calculated values
D(E_F)   1.38 states/eV per cell

a = 5.0452 Å, b = 5.0452 Å, c = 6.1608 Å
α = 76.12°, β = 76.12°, γ = 29.27°
Last column: nearest neighbours and their distance in Å.
Positions (direct):
Cu: 0.9950 0.9950 0.9980  7 Cu 2.55-2.65, 5 Li 2.59-2.66
Cu: 0.6655 0.6655 0.6695  3 Li 2.49-2.62, 9 Cu 2.55-2.63
Cu: 0.3900 0.3900 0.7194  3 Li 2.49-2.62, 9 Cu 2.55-2.63
Cu: 0.0605 0.0605 0.3909  7 Cu 2.55-2.65, 5 Li 2.59-2.66
Li: 0.3386 0.3386 0.3425  8 Cu 2.49-2.66, 4 Li 2.55-2.73
Li: 0.7170 0.7170 0.0464  8 Cu 2.49-2.66, 4 Li 2.55-2.73

***

Density functional theory data (PBE) for NaTbY2Se4 after structural relaxation.

Calculated values
Energy relative to the elements, uncorrected   -1.746 eV/atom
D(E_F)   2.78 states/eV per cell

a = 4.0829 Å, b = 7.1396 Å, c = 7.1373 Å
α = 70.99°, β = 90.00°, γ = 90.00°
Last column: nearest neighbours and their distance in Å.
Positions (direct):
Na: 0.5000 0.5000 0.0000  6 Se 2.90-2.93
Tb: 0.0000 0.5000 0.5000  6 Se 2.91
Y: 0.0000 0.0000 0.0000  6 Se 2.90-2.91
Y: 0.5000 0.0000 0.5000  6 Se 2.89-2.91
Se: 0.0000 0.7540 0.7463  3 Y 2.89-2.90, 1 Tb 2.91, 2 Na 2.93
Se: 0.0000 0.2460 0.2537  3 Y 2.89-2.90, 1 Tb 2.91, 2 Na 2.93
Se: 0.5000 0.7504 0.2494  1 Na 2.90, 3 Y 2.91, 2 Tb 2.91
Se: 0.5000 0.2496 0.7506  1 Na 2.91, 3 Y 2.91, 2 Tb 2.91

***

Density functional theory data (PBE) for Y5SbS4 after structural relaxation.

Calculated values
Energy relative to the elements, uncorrected   -1.779 eV/atom
D(E_F)   4.26 states/eV per cell

a = 4.0156 Å, b = 5.7137 Å, c = 10.6394 Å
α = 105.58°, β = 100.88°, γ = 90.00°
Last column: nearest neighbours and their distance in Å.
Positions (direct):
Y: 0.6108 0.1108 0.2217  4 S 2.76-2.86, 2 Sb 3.00
Y: 0.8008 0.3008 0.6015  6 S 2.78-2.86
Y: 0.1992 0.6992 0.3985  6 S 2.78-2.86
Y: 0.0000 0.5000 0.0000  2 Sb 2.86, 4 S 2.87
Y: 0.3892 0.8892 0.7783  4 S 2.76-2.86, 2 Sb 3.00
Sb: 0.0000 0.0000 0.0000  6 Y 2.86-3.00
S: 0.3983 0.3983 0.7965  6 Y 2.81-2.87
S: 0.7950 0.7950 0.5900  6 Y 2.76-2.86
S: 0.2050 0.2050 0.4100  6 Y 2.76-2.86
S: 0.6017 0.6017 0.2035  6 Y 2.81-2.87

***

Total energy: -6.213; -4.478; -3.922; -3.405; -5.847; -7.074 (eV/atom)